The following is a DFT calculation (GGA-PBE) of a relaxed RbGaSi crystal.

Unit cell a=7.2158 b=6.0474 c=4.2158 alpha=73.87 beta=102.31 gamma=82.28
Positions (direct):
Ga: 0.9531 0.2906 0.0250
Ga: 0.0469 0.7094 0.9750
Rb: 0.6355 0.7137 0.2519
Rb: 0.3645 0.2863 0.7481
Si: 0.1503 0.8931 0.4392
Si: 0.8497 0.1069 0.5608

Summary:
Formation energy from raw total energies, eV/atom: -0.0171
Fermi-level density of states, states/eV/cell: 0.67